# 1
Compound: Ba2Zn4InHg3
Source: Alexandria
Functional: PBE
Structure: relaxed

POSCAR file:
```
Ba2Zn4InHg3
1.0
4.775 0.000 0.000
0.000 4.775 0.000
0.000 0.000 11.372
Ba Zn In Hg
2 4 1 3
Direct
0.000 0.500 0.243
0.500 0.000 0.757
0.000 0.000 0.000
0.000 0.500 0.634
0.500 0.000 0.366
0.500 0.500 0.000
0.000 0.000 0.500
0.000 0.500 0.876
0.500 0.000 0.124
0.500 0.500 0.500
```

Calculated values
- Calculated total energy: -1.54 eV/atom
- M_tot: 0.00 μB per atom
- Energy of formation from the pure elements: -0.28 eV/atom

=====

# 2
Compound: Ba4Hg2Ir
Source: Alexandria
Functional: PBE
Structure: relaxed

POSCAR file:
```
Ba4Hg2Ir
1.0
-3.034 3.034 8.663
3.034 -3.034 8.663
3.034 3.034 -8.663
Ba Hg Ir
4 2 1
Direct
0.000 0.500 0.500
0.177 0.177 0.000
0.500 0.000 0.500
0.823 0.823 0.000
0.381 0.381 0.000
0.619 0.619 0.000
0.000 0.000 0.000
```

Calculated values
- Calculated total energy: -2.70 eV/atom
- M_tot: 0.00 μB per atom
- Energy of formation from the pure elements: -0.25 eV/atom

=====

# 3
Compound: Ba2HgIr
Source: Alexandria
Functional: PBE
Structure: relaxed

POSCAR file:
```
Ba2HgIr
1.0
3.895 -3.906 0.000
3.895 3.906 0.000
0.000 0.000 4.108
Ba Hg Ir
2 1 1
Direct
0.000 0.500 0.000
0.500 0.000 0.000
0.000 0.000 0.500
0.500 0.500 0.500
```

Calculated values
- Calculated total energy: -3.33 eV/atom
- M_tot: 0.01 μB per atom
- Energy of formation from the pure elements: -0.08 eV/atom

=====

Copy entry 2 word for word.
Compound: Ba4Hg2Ir
Source: Alexandria
Functional: PBE
Structure: relaxed

POSCAR file:
```
Ba4Hg2Ir
1.0
-3.034 3.034 8.663
3.034 -3.034 8.663
3.034 3.034 -8.663
Ba Hg Ir
4 2 1
Direct
0.000 0.500 0.500
0.177 0.177 0.000
0.500 0.000 0.500
0.823 0.823 0.000
0.381 0.381 0.000
0.619 0.619 0.000
0.000 0.000 0.000
```

Calculated values
- Calculated total energy: -2.70 eV/atom
- M_tot: 0.00 μB per atom
- Energy of formation from the pure elements: -0.25 eV/atom